# 1
Here is crystalline Pm6Sm3Th at its relaxed geometry from Alexandria via LeMat-Bulk. Energies are from PBE-GGA.

a = 3.6450 Å, b = 6.3133 Å, c = 29.8645 Å
α = 86.06°, β = 96.96°, γ = 89.95°
Fractional coordinates of all 20 atoms:
Pm  0.4030  0.8716  0.9020
Pm  0.5972  0.7969  0.5992
Pm  0.1988  0.2660  0.2001
Pm  0.8012  0.7340  0.7999
Pm  0.4028  0.2031  0.4008
Pm  0.5970  0.1284  0.0980
Pm  0.9036  0.6921  0.4020
Pm  0.0985  0.6381  0.0995
Pm  0.7014  0.0991  0.7002
Pm  0.2986  0.9009  0.2998
Pm  0.9015  0.3619  0.9005
Pm  0.0964  0.3079  0.5980
Sm  0.3000  0.2343  0.7990
Sm  0.5000  0.5000  0.0000
Sm  0.7000  0.7657  0.2010
Sm  0.7982  0.3996  0.2994
Sm  0.0000  0.0000  0.5000
Sm  0.2018  0.6004  0.7006
Th  0.5000  0.5000  0.5000
Th  0.0000  0.0000  0.0000

Computed properties:
calculated volume	680.5	Å³ per cell
magnetic moment	0.00	μB per cell
D(E_F)	1.502	states/eV/atom
ΔE_f	0.024	eV per atom
ρ	7.6	g cm⁻³

# 2
Here is crystalline Pm3Sm2Th at its relaxed geometry from Alexandria via LeMat-Bulk. Energies are from PBE-GGA.

a = 5.1320 Å, b = 9.6162 Å, c = 9.6162 Å
α = 106.53°, β = 105.46°, γ = 105.46°
Fractional coordinates of all 12 atoms:
Pm  0.4926  0.8248  0.6611
Pm  0.9926  0.6611  0.8248
Pm  0.5000  0.5000  0.0000
Pm  0.5074  0.1752  0.3389
Pm  0.0000  0.0000  0.5000
Pm  0.0074  0.3389  0.1752
Sm  0.2500  0.0832  0.9168
Sm  0.2500  0.7474  0.2526
Sm  0.7500  0.9168  0.0832
Sm  0.7500  0.2526  0.7474
Th  0.2500  0.4188  0.5812
Th  0.7500  0.5812  0.4188

Computed properties:
calculated volume	407.3	Å³ per cell
magnetic moment	0.00	μB per cell
D(E_F)	1.584	states/eV/atom
ΔE_f	0.036	eV per atom
ρ	7.9	g cm⁻³

# 3
Here is crystalline Pm12Sm5Th2 at its relaxed geometry from Alexandria via LeMat-Bulk. Energies are from PBE-GGA.

a = 9.4135 Å, b = 12.5134 Å, c = 8.8466 Å
α = 132.39°, β = 90.00°, γ = 112.09°
Fractional coordinates of all 19 atoms:
Pm  0.0705  0.1410  0.2618
Pm  0.0324  0.7068  0.9476
Pm  0.6744  0.7068  0.9476
Pm  0.1711  0.7362  0.4234
Pm  0.5652  0.7362  0.4234
Pm  0.5577  0.1155  0.7744
Pm  0.4423  0.8845  0.2256
Pm  0.8289  0.2638  0.5766
Pm  0.4348  0.2638  0.5766
Pm  0.9676  0.2932  0.0524
Pm  0.3256  0.2932  0.0524
Pm  0.9295  0.8590  0.7382
Sm  0.2914  0.5828  0.6228
Sm  0.2330  0.4661  0.9005
Sm  0.0000  0.0000  0.5000
Sm  0.7670  0.5339  0.0995
Sm  0.7086  0.4172  0.3772
Th  0.6660  0.0000  0.0000
Th  0.3340  0.0000  0.0000

Computed properties:
calculated volume	662.4	Å³ per cell
magnetic moment	0.00	μB per cell
D(E_F)	1.330	states/eV/atom
ΔE_f	0.141	eV per atom
ρ	7.4	g cm⁻³

# 4
Here is crystalline Pm4Sm5Th at its relaxed geometry from Alexandria via LeMat-Bulk. Energies are from PBE-GGA.

a = 4.2794 Å, b = 4.2794 Å, c = 18.5118 Å
α = 90.00°, β = 90.00°, γ = 90.00°
Fractional coordinates of all 10 atoms:
Pm  0.0000  0.0000  0.1960
Pm  0.0000  0.0000  0.3996
Pm  0.0000  0.0000  0.6004
Pm  0.0000  0.0000  0.8040
Sm  0.5000  0.5000  0.0961
Sm  0.5000  0.5000  0.3001
Sm  0.5000  0.5000  0.5000
Sm  0.5000  0.5000  0.6999
Sm  0.5000  0.5000  0.9039
Th  0.0000  0.0000  0.0000

Computed properties:
calculated volume	339.0	Å³ per cell
magnetic moment	0.00	μB per cell
D(E_F)	2.238	states/eV/atom
ΔE_f	0.122	eV per atom
ρ	7.7	g cm⁻³

# 5
Here is crystalline Pm6SmTh2 at its relaxed geometry from Alexandria via LeMat-Bulk. Energies are from PBE-GGA.

a = 3.6177 Å, b = 3.6177 Å, c = 27.0948 Å
α = 90.00°, β = 90.00°, γ = 120.00°
Fractional coordinates of all 9 atoms:
Pm  0.6667  0.3333  0.8905
Pm  0.3333  0.6667  0.4367
Pm  0.3333  0.6667  0.7790
Pm  0.3333  0.6667  0.2210
Pm  0.3333  0.6667  0.5633
Pm  0.6667  0.3333  0.1095
Sm  0.3333  0.6667  0.0000
Th  0.6667  0.3333  0.3302
Th  0.6667  0.3333  0.6698

Computed properties:
calculated volume	307.1	Å³ per cell
magnetic moment	0.00	μB per cell
D(E_F)	1.940	states/eV/atom
ΔE_f	0.075	eV per atom
ρ	8.0	g cm⁻³

# 6
Here is crystalline Pm7Sm3Th at its relaxed geometry from Alexandria via LeMat-Bulk. Energies are from PBE-GGA.

a = 10.0850 Å, b = 10.0851 Å, c = 11.3763 Å
α = 90.00°, β = 90.00°, γ = 138.75°
Fractional coordinates of all 22 atoms:
Pm  0.3553  0.1822  0.2500
Pm  0.8179  0.6447  0.7500
Pm  0.0954  0.4149  0.5298
Pm  0.0954  0.4149  0.9702
Pm  0.5852  0.9047  0.0298
Pm  0.5852  0.9047  0.4702
Pm  0.2367  0.2367  0.7500
Pm  0.7633  0.7633  0.2500
Pm  0.4148  0.0953  0.9702
Pm  0.4148  0.0953  0.5298
Pm  0.9046  0.5851  0.0298
Pm  0.9046  0.5851  0.4702
Pm  0.1821  0.3553  0.2500
Pm  0.6447  0.8178  0.7500
Sm  0.2396  0.7520  0.7500
Sm  0.0000  0.0000  0.0000
Sm  0.0000  0.0000  0.5000
Sm  0.2480  0.7604  0.2500
Sm  0.7520  0.2396  0.7500
Sm  0.7604  0.2480  0.2500
Th  0.5000  0.5000  0.0000
Th  0.5000  0.5000  0.5000

Computed properties:
calculated volume	762.9	Å³ per cell
magnetic moment	0.00	μB per cell
D(E_F)	1.672	states/eV/atom
ΔE_f	0.148	eV per atom
ρ	7.4	g cm⁻³

Question: Which value of ρ does entry 4 give?
Answer: 7.7 g cm⁻³